# 1
The following is a GGA-PBE calculation of crystalline Sr2CrW at its relaxed geometry, from Alexandria.

Computed properties:
The calculation puts the theoretical density at 6.8 g/cm³. The calculation puts the energy above the most stable polymorph in this dataset at 5.16 eV/f.u. The calculation puts the formation energy from the elements at 1.976 eV per atom. The calculation puts the total energy at -18.0 eV for the cell shown.

```
Sr2CrW
1.0
-4.0155 -1.6257 2.9282
-2.5557 3.3939 3.0482
-4.8758 1.4470 -1.2142
Sr W Cr
2 1 1
Cartesian
-2.8617 0.8038 1.1906
-8.5852 2.4114 3.5717
-5.7235 1.6076 2.3811
0.0000 0.0000 0.0000
```

# 2
The following is a GGA-PBE calculation of crystalline ZnNi3Sn at its relaxed geometry, from Alexandria.

Computed properties:
The calculation puts the theoretical density at 6.0 g/cm³. The calculation puts the energy above the most stable polymorph in this dataset at 4.44 eV/f.u. The calculation puts the formation energy from the elements at 0.986 eV per atom. The calculation puts the total energy at -17.7 eV for the cell shown.

```
ZnNi3Sn
1.0
-1.0379 -4.0235 2.0693
4.1091 0.0502 2.1587
-1.8934 2.3144 3.5504
Ni Zn Sn
3 1 1
Cartesian
2.0546 0.0251 1.0793
-0.9467 1.1572 1.7752
-0.5189 -2.0117 1.0346
0.5889 -0.8294 3.8892
0.0000 0.0000 0.0000
```

# 3
The following is a GGA-PBE calculation of crystalline Y3Te2Au at its relaxed geometry, from Alexandria.

Computed properties:
The calculation puts the theoretical density at 6.9 g/cm³. As for the raw formation energy: -6.980 eV per formula unit. The calculation puts the total energy at -143.7 eV for the cell shown.

```
Y3Te2Au
1.0
7.3944 0.0664 -1.3778
-2.7991 6.8445 -1.3778
-0.0547 -0.0823 13.5779
Y Te Au
12 8 4
Cartesian
-0.7419 4.6146 10.0503
4.4478 0.9586 10.1070
0.4091 0.4119 8.9387
2.6139 4.1343 7.5042
-1.3363 3.5174 6.0457
0.7802 6.7003 4.7766
1.7392 2.8190 3.3181
4.3190 6.2920 1.8835
5.3771 2.3562 0.7153
-0.0017 5.7278 0.7720
1.0582 1.5915 -0.6346
3.5371 5.3194 -2.1210
5.9247 3.3831 11.4272
1.8838 2.8330 10.2463
5.1779 2.2600 7.3649
1.1369 1.7098 6.1840
3.4037 5.1188 4.6383
4.4595 1.1796 3.4573
2.6569 3.9957 0.5760
3.7127 0.0564 -0.6049
4.1660 6.2652 8.7846
0.0966 5.6722 7.4488
-0.6527 4.5454 3.3735
0.3746 0.5634 2.0377
```

# 4
The following is a GGA-PBE calculation of crystalline RbBa2GeO4 at its relaxed geometry, from Alexandria.

Computed properties:
The calculation puts the theoretical density at 4.8 g/cm³. As for the raw formation energy: -15.982 eV per formula unit. The calculation puts the total energy at -90.5 eV for the cell shown.

```
RbBa2GeO4
1.0
-0.8333 3.7229 -0.8535
-5.5657 -2.4676 3.6235
5.4923 3.7486 10.9891
Rb Ba Ge O
2 4 2 8
Cartesian
2.9534 2.6933 8.8648
-3.8601 2.3106 4.8943
-1.5023 1.5639 8.2883
-1.7376 1.8477 0.8026
0.5956 3.4401 5.4708
0.8309 3.1563 12.9565
-0.0852 4.2892 9.8391
-0.8215 0.7148 3.9200
-2.3918 0.1846 3.1405
0.2082 3.9478 8.0638
1.4851 4.8193 10.6186
-1.1149 1.0561 5.6953
2.7462 1.8743 5.4945
0.0000 0.0000 0.0000
-0.3108 2.3626 10.6091
-0.5959 2.6413 3.1500
```

# 5
The following is a GGA-PBE calculation of crystalline CePmSmGd at its relaxed geometry, from Alexandria.

Computed properties:
The calculation puts the theoretical density at 7.4 g/cm³. The calculation puts the formation energy from the elements at 0.183 eV per atom. The calculation puts the total energy at -28.8 eV for the cell shown.

```
CePmSmGd
1.0
-5.7004 -0.6719 -0.0907
-2.9166 -0.4432 4.9246
-3.4223 4.2822 1.7044
Gd Ce Sm Pm
1 1 1 1
Cartesian
0.0000 0.0000 0.0000
-3.0098 0.7918 1.6346
-9.0295 2.3753 4.9038
-6.0197 1.5835 3.2692
```

# 6
The following is a GGA-PBE calculation of crystalline ZrNbO2F at its relaxed geometry, from Alexandria.

Computed properties:
The calculation puts the theoretical density at 5.3 g/cm³. As for the raw formation energy: -8.254 eV per formula unit. The calculation puts the total energy at -38.7 eV for the cell shown.

```
ZrNbO2F
1.0
-0.3619 4.1752 -0.0616
-0.7444 -0.1253 -4.1227
-4.1348 -0.3472 0.7572
Nb O Zr F
1 2 1 1
Cartesian
-2.6205 1.8513 -1.7136
-0.3722 -0.0627 -2.0614
-0.1809 2.0876 -0.0308
0.0000 0.0000 0.0000
-2.0674 -0.1736 0.3786
```